[1]
First-principles (GGA-PBE) data for a relaxed structure of LaIr2Se2, as listed in Alexandria.

```
LaIr2Se2
1.0
-2.0347 2.0347 5.9522
2.0347 -2.0347 5.9522
2.0347 2.0347 -5.9522
La Ir Se
1 2 2
Cartesian
0.0000 0.0000 0.0000
2.0347 0.0000 2.9761
0.0000 2.0347 2.9761
0.0000 0.0000 4.4948
0.0000 0.0000 7.4097
```

Calculated values
As for the space group: I4/mmm (139). The calculation puts the final energy at -31.89 eV per cell. As for the uncorrected formation energy: -0.45 eV per atom.

---

[2]
First-principles (GGA-PBE) data for a relaxed structure of LiPm2PaS4, as listed in Alexandria.

```
LiPm2PaS4
1.0
6.7879 0.0000 0.0000
0.0000 3.9335 0.0000
-2.2617 0.0000 6.4708
Li Pm Pa S
1 2 1 4
Cartesian
0.0000 0.0000 0.0000
2.2631 0.0000 3.2354
3.3940 1.9667 0.0000
-1.1308 1.9667 3.2354
1.0265 1.9667 1.5665
-0.1049 0.0000 4.8655
4.6312 0.0000 1.6053
3.4998 1.9667 4.9043
```

Calculated values
As for the space group: P2/m (10). The calculation puts the final energy at -51.72 eV per cell. As for the uncorrected formation energy: -1.79 eV per atom.

---

[3]
First-principles (GGA-PBE) data for a relaxed structure of CoTc4Sb, as listed in Alexandria.

```
CoTc4Sb
1.0
0.0000 3.6403 3.6403
3.6403 0.0000 3.6403
3.6403 3.6403 0.0000
Co Tc Sb
1 4 1
Cartesian
0.0000 0.0000 0.0000
4.5540 2.7266 2.7266
2.7266 4.5540 2.7266
2.7266 2.7266 4.5540
4.5540 4.5540 4.5540
1.8202 1.8202 1.8202
```

Calculated values
As for the space group: F-43m (216). The calculation puts the final energy at -49.14 eV per cell. As for the uncorrected formation energy: 0.59 eV per atom.

---

[4]
First-principles (GGA-PBE) data for a relaxed structure of Dy5Sb2H, as listed in Alexandria.

```
Dy5Sb2H
1.0
-3.4537 3.4537 4.3611
3.4537 -3.4537 4.3611
3.4537 3.4537 -4.3611
Dy Sb H
5 2 1
Cartesian
0.0000 0.0000 0.0000
1.7241 1.7241 2.1395
1.7296 -1.7296 6.5005
-1.7296 1.7296 6.5005
1.7296 1.7296 6.5005
3.4537 0.0000 4.3183
0.0000 3.4537 4.3183
0.0000 0.0000 2.2551
```

Calculated values
As for the space group: I4mm (107). The calculation puts the final energy at -38.58 eV per cell.